Entry 1:
! InHg2 | Alexandria via LeMat-Bulk | SCAN | PBEsol geometry; values from VASP
! final energy	-169.36	eV/f.u.
&SYSTEM
  ibrav = 0, nat = 24, ntyp = 2
/
ATOMIC_SPECIES
In 114.82 In.upf
Hg 200.59 Hg.upf
ATOMIC_POSITIONS crystal
In 0.0000 0.0000 0.0909
In 0.0000 0.0000 0.4091
In 0.0000 0.0000 0.5909
In 0.0000 0.0000 0.9091
In 0.3333 0.6667 0.1567
In 0.3333 0.6667 0.3433
In 0.6667 0.3333 0.6567
In 0.6667 0.3333 0.8433
Hg 0.0000 0.5000 0.0000
Hg 0.0000 0.5000 0.5000
Hg 0.1578 0.3157 0.7500
Hg 0.1578 0.8422 0.7500
Hg 0.3157 0.1578 0.2500
Hg 0.3333 0.6667 0.6274
Hg 0.3333 0.6667 0.8726
Hg 0.5000 0.0000 0.0000
Hg 0.5000 0.0000 0.5000
Hg 0.5000 0.5000 0.0000
Hg 0.5000 0.5000 0.5000
Hg 0.6667 0.3333 0.1274
Hg 0.6667 0.3333 0.3726
Hg 0.6843 0.8422 0.7500
Hg 0.8422 0.1578 0.2500
Hg 0.8422 0.6843 0.2500
CELL_PARAMETERS angstrom
6.1526 0.0000 0.0000
-3.0763 5.3283 0.0000
0.0000 0.0000 18.2249


Entry 2:
! GeIr3F | Alexandria via LeMat-Bulk | SCAN | PBEsol geometry; values from VASP
! raw formation energy	1.468	eV per atom
! final energy	-228.59	eV/f.u.
&SYSTEM
  ibrav = 0, nat = 5, ntyp = 3
/
ATOMIC_SPECIES
Ge 72.64 Ge.upf
Ir 192.22 Ir.upf
F 19.00 F.upf
ATOMIC_POSITIONS crystal
Ge 0.0000 0.0000 0.0000
Ir 0.0000 0.0000 0.5000
Ir 0.0000 0.5000 0.0000
Ir 0.5000 0.0000 0.0000
F 0.5000 0.5000 0.5000
CELL_PARAMETERS angstrom
4.5398 0.0000 0.0000
0.0000 4.5398 0.0000
0.0000 0.0000 4.5398


Entry 3:
! Re2MoPb | Alexandria via LeMat-Bulk | SCAN | PBEsol geometry; values from VASP
! final energy	-249.34	eV/f.u.
&SYSTEM
  ibrav = 0, nat = 4, ntyp = 3
/
ATOMIC_SPECIES
Re 186.21 Re.upf
Mo 95.94 Mo.upf
Pb 207.20 Pb.upf
ATOMIC_POSITIONS crystal
Re 0.2500 0.7500 0.5000
Re 0.7500 0.2500 0.5000
Mo 0.0000 0.0000 0.0000
Pb 0.5000 0.5000 0.0000
CELL_PARAMETERS angstrom
-1.9625 1.9625 4.2487
1.9625 -1.9625 4.2487
1.9625 1.9625 -4.2487


Entry 4:
! Ta2FeAgPb | Alexandria via LeMat-Bulk | SCAN | PBEsol geometry; values from VASP
! final energy	-250.09	eV/f.u.
&SYSTEM
  ibrav = 0, nat = 5, ntyp = 4
/
ATOMIC_SPECIES
Ta 180.95 Ta.upf
Fe 55.84 Fe.upf
Ag 107.87 Ag.upf
Pb 207.20 Pb.upf
ATOMIC_POSITIONS crystal
Ta 0.0000 0.5000 0.0000
Ta 0.5000 0.0000 0.0000
Fe 0.0000 0.0000 0.5000
Ag 0.0000 0.0000 0.0000
Pb 0.5000 0.5000 0.5000
CELL_PARAMETERS angstrom
4.8987 0.0000 0.0000
0.0000 4.8987 0.0000
0.0000 0.0000 4.5783


Entry 5:
! Sc2AgSb | Alexandria via LeMat-Bulk | SCAN | PBEsol geometry; values from VASP
! raw formation energy	-0.541	eV per atom
! final energy	-99.27	eV/f.u.
&SYSTEM
  ibrav = 0, nat = 4, ntyp = 3
/
ATOMIC_SPECIES
Sc 44.96 Sc.upf
Ag 107.87 Ag.upf
Sb 121.76 Sb.upf
ATOMIC_POSITIONS crystal
Sc 0.0000 0.0000 0.0000
Sc 0.7500 0.2500 0.5000
Ag 0.5000 0.5000 0.0000
Sb 0.2500 0.7500 0.5000
CELL_PARAMETERS angstrom
-2.0454 2.0454 4.9351
2.0454 -2.0454 4.9351
2.0454 2.0454 -4.9351


Entry 6:
! CaBe2Cd | Alexandria via LeMat-Bulk | SCAN | PBEsol geometry; values from VASP
! final energy	-46.84	eV/f.u.
&SYSTEM
  ibrav = 0, nat = 4, ntyp = 3
/
ATOMIC_SPECIES
Ca 40.08 Ca.upf
Be 9.01 Be.upf
Cd 112.41 Cd.upf
ATOMIC_POSITIONS crystal
Ca 0.0000 0.0000 0.0000
Be 0.0000 0.5000 0.5000
Be 0.5000 0.0000 0.5000
Cd 0.5000 0.5000 0.0000
CELL_PARAMETERS angstrom
4.3652 0.0000 0.0000
0.0000 4.3652 0.0000
0.0000 0.0000 3.7507


Entry 7:
! LaFe2Si2 | Alexandria via LeMat-Bulk | SCAN | PBEsol geometry; values from VASP
! raw formation energy	-0.489	eV per atom
! final energy	-101.84	eV/f.u.
&SYSTEM
  ibrav = 0, nat = 5, ntyp = 3
/
ATOMIC_SPECIES
La 138.91 La.upf
Fe 55.84 Fe.upf
Si 28.09 Si.upf
ATOMIC_POSITIONS crystal
La 0.0000 0.0000 0.0000
Fe 0.2500 0.7500 0.5000
Fe 0.7500 0.2500 0.5000
Si 0.3567 0.3567 0.0000
Si 0.6433 0.6433 0.0000
CELL_PARAMETERS angstrom
-2.0046 2.0046 4.8760
2.0046 -2.0046 4.8760
2.0046 2.0046 -4.8760


Entry 8:
! LiLaCd2 | Alexandria via LeMat-Bulk | SCAN | PBEsol geometry; values from VASP
! final energy	-107.63	eV/f.u.
&SYSTEM
  ibrav = 0, nat = 4, ntyp = 3
/
ATOMIC_SPECIES
Li 6.94 Li.upf
La 138.91 La.upf
Cd 112.41 Cd.upf
ATOMIC_POSITIONS crystal
Li 0.0000 0.0000 0.0000
La 0.0000 0.0000 0.5000
Cd 0.5000 0.5000 0.1966
Cd 0.5000 0.5000 0.8034
CELL_PARAMETERS angstrom
3.4057 0.0000 0.0000
0.0000 3.4057 0.0000
0.0000 0.0000 7.7806


Entry 9:
! YRhBr2 | Alexandria via LeMat-Bulk | SCAN | PBEsol geometry; values from VASP
! raw formation energy	-0.640	eV per atom
! relative energy among the computed polymorphs	0	meV per atom
! final energy	-103.09	eV/f.u.
&SYSTEM
  ibrav = 0, nat = 4, ntyp = 3
/
ATOMIC_SPECIES
Y 88.91 Y.upf
Rh 102.91 Rh.upf
Br 79.90 Br.upf
ATOMIC_POSITIONS crystal
Y 0.0000 0.0000 0.0000
Rh 0.5000 0.5000 0.5000
Br 0.0000 0.5000 0.5000
Br 0.5000 0.0000 0.0000
CELL_PARAMETERS angstrom
0.0000 3.2399 4.4216
3.1317 0.0000 4.4216
3.1317 3.2399 0.0000


Entry 10:
! YSnPd | Alexandria via LeMat-Bulk | SCAN | PBEsol geometry; values from VASP
! final energy	-99.79	eV/f.u.
&SYSTEM
  ibrav = 0, nat = 12, ntyp = 3
/
ATOMIC_SPECIES
Y 88.91 Y.upf
Sn 118.71 Sn.upf
Pd 106.42 Pd.upf
ATOMIC_POSITIONS crystal
Y 0.0085 0.2500 0.2051
Y 0.4915 0.7500 0.7051
Y 0.5085 0.2500 0.2949
Y 0.9915 0.7500 0.7949
Sn 0.1933 0.2500 0.5874
Sn 0.3067 0.7500 0.0874
Sn 0.6933 0.2500 0.9126
Sn 0.8067 0.7500 0.4126
Pd 0.2049 0.7500 0.4161
Pd 0.2951 0.2500 0.9161
Pd 0.7049 0.7500 0.0839
Pd 0.7951 0.2500 0.5839
CELL_PARAMETERS angstrom
7.1145 0.0000 0.0000
0.0000 4.5784 0.0000
0.0000 0.0000 7.8587


Entry 11:
! YTa2Cd | Alexandria via LeMat-Bulk | SCAN | PBEsol geometry; values from VASP
! final energy	-190.04	eV/f.u.
&SYSTEM
  ibrav = 0, nat = 4, ntyp = 3
/
ATOMIC_SPECIES
Y 88.91 Y.upf
Ta 180.95 Ta.upf
Cd 112.41 Cd.upf
ATOMIC_POSITIONS crystal
Y 0.0000 0.0000 0.0000
Ta 0.0000 0.5000 0.5000
Ta 0.5000 0.0000 0.5000
Cd 0.5000 0.5000 0.0000
CELL_PARAMETERS angstrom
4.1825 0.0000 0.0000
0.0000 4.1825 0.0000
0.0000 0.0000 4.6230


Entry 12:
! CrBiAs2Br | Alexandria via LeMat-Bulk | SCAN | PBEsol geometry; values from VASP
! raw formation energy	0.223	eV per atom
! final energy	-155.69	eV/f.u.
&SYSTEM
  ibrav = 0, nat = 5, ntyp = 4
/
ATOMIC_SPECIES
Cr 52.00 Cr.upf
Bi 208.98 Bi.upf
As 74.92 As.upf
Br 79.90 Br.upf
ATOMIC_POSITIONS crystal
Cr 0.0000 0.0000 0.0000
Bi 0.5000 0.5000 0.5000
As 0.0000 0.5000 0.0000
As 0.5000 0.0000 0.0000
Br 0.0000 0.0000 0.5000
CELL_PARAMETERS angstrom
4.7734 0.0000 0.0000
0.0000 4.7734 0.0000
0.0000 0.0000 4.9301


Entry 13:
! SmH4I3O11 | Alexandria via LeMat-Bulk | SCAN | PBEsol geometry; values from VASP
! final energy	-257.86	eV/f.u.
&SYSTEM
  ibrav = 0, nat = 38, ntyp = 4
/
ATOMIC_SPECIES
Sm 150.36 Sm.upf
H 1.01 H.upf
I 126.90 I.upf
O 16.00 O.upf
ATOMIC_POSITIONS crystal
Sm 0.0980 0.4131 0.2879
Sm 0.9020 0.5869 0.7121
H 0.1427 0.2609 0.8898
H 0.1997 0.0653 0.8779
H 0.2407 0.0918 0.3649
H 0.2738 0.0750 0.2222
H 0.7262 0.9250 0.7778
H 0.7593 0.9082 0.6351
H 0.8003 0.9347 0.1221
H 0.8573 0.7391 0.1102
I 0.2672 0.7277 0.0543
I 0.2843 0.3527 0.6681
I 0.3143 0.8473 0.5684
I 0.6857 0.1527 0.4316
I 0.7157 0.6473 0.3319
I 0.7328 0.2723 0.9457
O 0.0461 0.6230 0.1196
O 0.1024 0.8534 0.6312
O 0.1140 0.8131 0.9149
O 0.1353 0.7294 0.3985
O 0.2253 0.1478 0.2821
O 0.2479 0.5580 0.7551
O 0.2546 0.2111 0.8778
O 0.2910 0.4724 0.5226
O 0.3783 0.1031 0.5320
O 0.4103 0.9659 0.1646
O 0.4232 0.5674 0.2444
O 0.5768 0.4326 0.7556
O 0.5897 0.0341 0.8354
O 0.6217 0.8969 0.4680
O 0.7090 0.5276 0.4774
O 0.7454 0.7889 0.1222
O 0.7521 0.4420 0.2449
O 0.7747 0.8522 0.7179
O 0.8647 0.2706 0.6015
O 0.8860 0.1869 0.0851
O 0.8976 0.1466 0.3688
O 0.9539 0.3770 0.8804
CELL_PARAMETERS angstrom
7.0076 0.0000 0.0000
-2.3477 6.8414 0.0000
-3.2423 -1.8537 10.1224


Entry 14:
! TaMn2Cr | Alexandria via LeMat-Bulk | SCAN | PBEsol geometry; values from VASP
! final energy	-121.33	eV/f.u.
&SYSTEM
  ibrav = 0, nat = 4, ntyp = 3
/
ATOMIC_SPECIES
Ta 180.95 Ta.upf
Mn 54.94 Mn.upf
Cr 52.00 Cr.upf
ATOMIC_POSITIONS crystal
Ta 0.0000 0.0000 0.0000
Mn 0.2613 0.7613 0.5000
Mn 0.7387 0.2387 0.5000
Cr 0.5000 0.5000 0.0000
CELL_PARAMETERS angstrom
-1.4675 2.1079 4.0349
1.4675 -2.1079 4.0349
1.4675 2.1079 -4.0349


Entry 15:
! Ni3Rh2 | Alexandria via LeMat-Bulk | SCAN | PBEsol geometry; values from VASP
! relative energy among the computed polymorphs	14	meV per atom
! final energy	-115.86	eV/f.u.
&SYSTEM
  ibrav = 0, nat = 5, ntyp = 2
/
ATOMIC_SPECIES
Ni 58.69 Ni.upf
Rh 102.91 Rh.upf
ATOMIC_POSITIONS crystal
Ni 0.0000 0.0000 0.0000
Ni 0.1982 0.1982 0.1982
Ni 0.8018 0.8018 0.8018
Rh 0.4010 0.4010 0.4010
Rh 0.5990 0.5990 0.5990
CELL_PARAMETERS angstrom
1.2928 0.7464 10.2729
-1.2928 0.7464 10.2729
0.0000 -1.4928 10.2729


Entry 16:
! Li3IF | Alexandria via LeMat-Bulk | SCAN | PBEsol geometry; values from VASP
! raw formation energy	-1.355	eV per atom
! final energy	-54.23	eV/f.u.
&SYSTEM
  ibrav = 0, nat = 5, ntyp = 3
/
ATOMIC_SPECIES
Li 6.94 Li.upf
I 126.90 I.upf
F 19.00 F.upf
ATOMIC_POSITIONS crystal
Li 0.0000 0.0000 0.5000
Li 0.0000 0.5000 0.0000
Li 0.5000 0.0000 0.0000
I 0.5000 0.5000 0.5000
F 0.0000 0.0000 0.0000
CELL_PARAMETERS angstrom
4.4101 0.0000 0.0000
0.0000 4.4101 0.0000
0.0000 0.0000 4.4101


Entry 17:
! Tl3GaHg | Alexandria via LeMat-Bulk | SCAN | PBEsol geometry; values from VASP
! final energy	-299.16	eV/f.u.
&SYSTEM
  ibrav = 0, nat = 5, ntyp = 3
/
ATOMIC_SPECIES
Tl 204.38 Tl.upf
Ga 69.72 Ga.upf
Hg 200.59 Hg.upf
ATOMIC_POSITIONS crystal
Tl 0.0000 0.0000 0.5000
Tl 0.0000 0.5000 0.0000
Tl 0.5000 0.0000 0.0000
Ga 0.5000 0.5000 0.5000
Hg 0.0000 0.0000 0.0000
CELL_PARAMETERS angstrom
5.5686 0.0000 0.0000
0.0000 5.5686 0.0000
0.0000 0.0000 5.5686


Entry 18:
! TlIrRh2 | Alexandria via LeMat-Bulk | SCAN | PBEsol geometry; values from VASP
! relative energy among the computed polymorphs	94	meV per atom
! final energy	-209.62	eV/f.u.
&SYSTEM
  ibrav = 0, nat = 4, ntyp = 3
/
ATOMIC_SPECIES
Tl 204.38 Tl.upf
Ir 192.22 Ir.upf
Rh 102.91 Rh.upf
ATOMIC_POSITIONS crystal
Tl 0.0000 0.0000 0.0000
Ir 0.5000 0.5000 0.5000
Rh 0.2454 0.2454 0.2454
Rh 0.7546 0.7546 0.7546
CELL_PARAMETERS angstrom
1.4240 0.8221 8.8604
-1.4240 0.8221 8.8604
0.0000 -1.6443 8.8604


Entry 19:
! ZnAu2Se | Alexandria via LeMat-Bulk | SCAN | PBEsol geometry; values from VASP
! raw formation energy	0.126	eV per atom
! final energy	-171.40	eV/f.u.
&SYSTEM
  ibrav = 0, nat = 4, ntyp = 3
/
ATOMIC_SPECIES
Zn 65.41 Zn.upf
Au 196.97 Au.upf
Se 78.96 Se.upf
ATOMIC_POSITIONS crystal
Zn 0.0000 0.0000 0.0000
Au 0.2271 0.7271 0.5000
Au 0.4916 0.4916 0.0000
Se 0.7682 0.2682 0.5000
CELL_PARAMETERS angstrom
-1.9316 2.1264 4.1643
1.9316 -2.1264 4.1643
1.9316 2.1264 -4.1643


Entry 20:
! Cs2YAuI6 | Alexandria via LeMat-Bulk | SCAN | PBEsol geometry; values from VASP
! raw formation energy	-1.256	eV per atom
! final energy	-405.63	eV/f.u.
&SYSTEM
  ibrav = 0, nat = 10, ntyp = 4
/
ATOMIC_SPECIES
Cs 132.91 Cs.upf
Y 88.91 Y.upf
Au 196.97 Au.upf
I 126.90 I.upf
ATOMIC_POSITIONS crystal
Cs 0.2500 0.2500 0.2500
Cs 0.7500 0.7500 0.7500
Y 0.0000 0.0000 0.0000
Au 0.5000 0.5000 0.5000
I 0.2520 0.2520 0.7480
I 0.2520 0.7480 0.2520
I 0.2520 0.7480 0.7480
I 0.7480 0.2520 0.2520
I 0.7480 0.2520 0.7480
I 0.7480 0.7480 0.2520
CELL_PARAMETERS angstrom
0.0000 5.9234 5.9234
5.9234 0.0000 5.9234
5.9234 5.9234 0.0000